Arrangement i

This record from the Alexandria database describes crystalline ZnH2Pd3 at its relaxed geometry. The functional is PBE-GGA.

V	279.1	Å³ per cell
total moment	0.0	μB/f.u.

Cell lengths 14.9353, 2.8775, 6.4955 Å; angles 90.00, 90.62, 90.00 degrees
Space group C2/m (No. 12)
One atom of each set of equivalent atoms:
Zn 0.1594 0.0000 0.4972 x4
H 0.0063 0.5000 0.2939 x4
H 0.1618 0.0000 0.9527 x4
Pd 0.0526 0.0000 0.8116 x4
Pd 0.1140 0.5000 0.1830 x4
Pd 0.2202 0.5000 0.8105 x4

Arrangement ii

This record from the Alexandria database describes crystalline ZnH2Pd3 at its relaxed geometry. The functional is PBE-GGA.

V	134.6	Å³ per cell
total moment	0.0	μB/f.u.

Cell lengths 3.0547, 9.4193, 4.6768 Å; angles 90.00, 90.00, 90.00 degrees
Space group Pmmn (No. 59, origin choice 2)
One atom of each set of equivalent atoms:
Zn 0.2500 0.2500 0.2281 x2
H 0.2500 0.5681 0.3662 x4
Pd 0.2500 0.5265 0.7582 x4
Pd 0.2500 0.7500 0.2470 x2

On energetic grounds, arrangement ii is preferred over the next structure by 53 meV per atom.

Arrangement i

This record from the Alexandria database describes crystalline ZnH3Pd at its relaxed geometry. The functional is PBE-GGA.

V	43.4	Å³ per cell
total moment	0.7	μB/f.u.

Cell lengths 3.5138, 3.5138, 3.5138 Å; angles 90.00, 90.00, 90.00 degrees
Space group Pm-3m (No. 221)
One atom of each set of equivalent atoms:
Zn 0.0000 0.0000 0.0000 x1
H 0.0000 0.0000 0.5000 x3
Pd 0.5000 0.5000 0.5000 x1

Arrangement ii

This record from the Alexandria database describes crystalline ZnH3Pd at its relaxed geometry. The functional is PBE-GGA.

V	45.0	Å³ per cell
total moment	0.0	μB/f.u.

Cell lengths 3.5578, 3.5578, 3.5578 Å; angles 90.00, 90.00, 90.00 degrees
Space group Pm-3m (No. 221)
One atom of each set of equivalent atoms:
Zn 0.0000 0.0000 0.0000 x1
H 0.0000 0.5000 0.5000 x3
Pd 0.5000 0.5000 0.5000 x1

On energetic grounds, arrangement ii is preferred over the next structure by 316 meV per atom.